[1]
A plane-wave DFT calculation with PBE was carried out for a relaxed LiScCdTe3 crystal.

Density ... 5.401 g/cm³
Calculated total energy ... -93.38 eV per cell
Crystal system ... orthorhombic

abc: 4.187 14.163 11.346
angles: 90.00 90.00 90.00
Space group Cmcm (No. 63)
Unique sites:
Li1 0.000 0.214 0.250 x4
Sc1 0.000 0.000 0.000 x4
Cd1 0.000 0.478 0.750 x4
Te1 0.000 0.109 0.750 x4
Te2 0.000 0.359 0.555 x8

[2]
A plane-wave DFT calculation with PBE was carried out for a relaxed LiSmCdSe3 crystal.

Density ... 5.456 g/cm³
Excess energy over the best structure of this formula in the dataset ... 0.45 eV/f.u.
Calculated total energy ... -100.18 eV per cell
Crystal system ... orthorhombic

abc: 4.142 13.187 11.291
angles: 90.00 90.00 90.00
Space group Cmcm (No. 63)
Unique sites:
Li1 0.000 0.232 0.250 x4
Sm1 0.000 0.000 0.000 x4
Cd1 0.000 0.477 0.750 x4
Se1 0.000 0.104 0.750 x4
Se2 0.000 0.354 0.568 x8

[3]
A plane-wave DFT calculation with PBE was carried out for a relaxed LiSmCdSe3 crystal.

Density ... 4.899 g/cm³
Excess energy over the best structure of this formula in the dataset ... 0.00 eV/f.u.
Calculated total energy ... -50.98 eV per cell
Crystal system ... monoclinic

abc: 7.805 4.176 10.857
angles: 90.00 103.97 90.00
Space group P2_1/m (No. 11)
Unique sites:
Li1 0.175 0.250 0.112 x2
Sm1 0.327 0.750 0.852 x2
Cd1 0.060 0.250 0.612 x2
Se1 0.057 0.250 0.857 x2
Se2 0.255 0.750 0.567 x2
Se3 0.411 0.750 0.132 x2

[4]
A plane-wave DFT calculation with PBE was carried out for a relaxed LiSmCdSe3 crystal.

Density ... 5.179 g/cm³
Excess energy over the best structure of this formula in the dataset ... 0.13 eV/f.u.
Calculated total energy ... -101.43 eV per cell
Crystal system ... orthorhombic

abc: 11.435 4.175 13.609
angles: 90.00 90.00 90.00
Space group Pnma (No. 62)
Unique sites:
Li1 0.127 0.250 0.037 x4
Sm1 0.051 0.250 0.751 x4
Cd1 0.194 0.250 0.314 x4
Se1 0.015 0.750 0.614 x4
Se2 0.104 0.750 0.909 x4
Se3 0.200 0.750 0.181 x4

[5]
A plane-wave DFT calculation with PBE was carried out for a relaxed LiCdSi2 crystal.

Density ... 4.309 g/cm³
Calculated total energy ... -50.23 eV per cell
Crystal system ... cubic

abc: 6.468 6.468 6.468
angles: 90.00 90.00 90.00
Space group F-43m (No. 216)
Unique sites:
Li1 0.000 0.000 0.000 x4
Cd1 0.250 0.250 0.250 x4
Si1 0.000 0.000 0.500 x4
Si2 0.250 0.250 0.750 x4

[6]
A plane-wave DFT calculation with PBE was carried out for a relaxed LiCdSi crystal.

Density ... 4.163 g/cm³
Calculated total energy ... -32.89 eV per cell
Crystal system ... cubic

abc: 6.173 6.173 6.173
angles: 90.00 90.00 90.00
Space group F-43m (No. 216)
Unique sites:
Li1 0.000 0.000 0.000 x4
Cd1 0.000 0.000 0.500 x4
Si1 0.250 0.250 0.750 x4

[7]
A plane-wave DFT calculation with PBE was carried out for a relaxed Li4Cd2SiSn crystal.

Density ... 4.731 g/cm³
Calculated total energy ... -20.91 eV per cell
Crystal system ... tetragonal

abc: 4.620 4.620 6.569
angles: 90.00 90.00 90.00
Space group P-4m2 (No. 115)
Unique sites:
Li1 0.000 0.000 0.000 x1
Li2 0.000 0.500 0.738 x2
Li3 0.500 0.500 0.500 x1
Cd1 0.000 0.500 0.268 x2
Si1 0.000 0.000 0.500 x1
Sn1 0.500 0.500 0.000 x1

[8]
A plane-wave DFT calculation with PBE was carried out for a relaxed LiSmCd6 crystal.

Density ... 7.861 g/cm³
Calculated total energy ... -13.98 eV per cell
Crystal system ... tetragonal

abc: 4.887 4.887 7.358
angles: 90.00 90.00 90.00
Space group P4/mmm (No. 123)
Unique sites:
Li1 0.000 0.000 0.000 x1
Sm1 0.500 0.500 0.500 x1
Cd1 0.000 0.000 0.500 x1
Cd2 0.000 0.500 0.227 x4
Cd3 0.500 0.500 0.000 x1

[9]
A plane-wave DFT calculation with PBE was carried out for a relaxed LiSmCd crystal.

Density ... 5.167 g/cm³
Calculated total energy ... -25.60 eV per cell
Crystal system ... cubic

abc: 7.025 7.025 7.025
angles: 90.00 90.00 90.00
Space group F-43m (No. 216)
Unique sites:
Li1 0.000 0.000 0.000 x4
Sm1 0.250 0.250 0.750 x4
Cd1 0.000 0.000 0.500 x4

[10]
A plane-wave DFT calculation with PBE was carried out for a relaxed Li2CdSn crystal.

Density ... 5.467 g/cm³
Calculated total energy ... -9.96 eV per cell
Crystal system ... tetragonal

abc: 4.629 4.629 3.472
angles: 90.00 90.00 90.00
Space group P4/mmm (No. 123)
Unique sites:
Li1 0.000 0.500 0.000 x2
Cd1 0.000 0.000 0.500 x1
Sn1 0.500 0.500 0.500 x1

[11]
A plane-wave DFT calculation with PBE was carried out for a relaxed Li2CdSn crystal.

Density ... 5.412 g/cm³
Calculated total energy ... -9.93 eV per cell
Crystal system ... tetragonal

abc: 3.298 3.298 6.910
angles: 90.00 90.00 90.00
Space group P4/mmm (No. 123)
Unique sites:
Li1 0.000 0.000 0.244 x2
Cd1 0.500 0.500 0.000 x1
Sn1 0.500 0.500 0.500 x1

[12]
A plane-wave DFT calculation with PBE was carried out for a relaxed LiCd2Sn crystal.

Density ... 6.839 g/cm³
Calculated total energy ... -32.61 eV per cell
Crystal system ... cubic

abc: 6.982 6.982 6.982
angles: 90.00 90.00 90.00
Space group F-43m (No. 216)
Unique sites:
Li1 0.000 0.000 0.000 x4
Cd1 0.000 0.000 0.500 x4
Cd2 0.250 0.250 0.250 x4
Sn1 0.250 0.250 0.750 x4

[13]
A plane-wave DFT calculation with PBE was carried out for a relaxed Li8CdSn2 crystal.

Density ... 3.586 g/cm³
Calculated total energy ... -82.92 eV per cell
Crystal system ... trigonal

abc: 4.5959 4.5959 30.7965
angles: 90.00 90.00 120.00
Space group R-3m (No. 166, hexagonal axes)
Unique sites:
Li1 0.0000 0.0000 0.0901 x6
Li2 0.0000 0.0000 0.1774 x6
Li3 0.0000 0.0000 0.2660 x6
Li4 0.0000 0.0000 0.3616 x6
Cd1 0.0000 0.0000 0.0000 x3
Sn1 0.0000 0.0000 0.4514 x6

[14]
A plane-wave DFT calculation with PBE was carried out for a relaxed Li2CdSn crystal.

Density ... 5.513 g/cm³
Calculated total energy ... -20.03 eV per cell
Crystal system ... tetragonal

abc: 4.689 4.689 6.713
angles: 90.00 90.00 90.00
Space group I4/mmm (No. 139)
Unique sites:
Li1 0.000 0.500 0.250 x4
Cd1 0.000 0.000 0.000 x2
Sn1 0.000 0.000 0.500 x2

[15]
A plane-wave DFT calculation with PBE was carried out for a relaxed Sr3LiTl2Cd2 crystal.

Density ... 6.022 g/cm³
Calculated total energy ... -31.48 eV per cell
Crystal system ... monoclinic

abc: 11.197 7.916 7.900
angles: 90.00 134.64 90.00
Space group C2/m (No. 12)
Unique sites:
Sr1 0.000 0.000 0.000 x2
Sr2 0.000 0.000 0.500 x2
Sr3 0.000 0.500 0.000 x2
Li1 0.000 0.500 0.500 x2
Tl1 0.250 0.250 0.000 x4
Cd1 0.250 0.250 0.500 x4

[16]
A plane-wave DFT calculation with PBE was carried out for a relaxed Li2TaCd crystal.

Density ... 7.585 g/cm³
Calculated total energy ... -57.81 eV per cell
Crystal system ... cubic

abc: 6.456 6.456 6.456
angles: 90.00 90.00 90.00
Space group F-43m (No. 216)
Unique sites:
Li1 0.000 0.000 0.000 x4
Li2 0.250 0.250 0.250 x4
Ta1 0.000 0.000 0.500 x4
Cd1 0.250 0.250 0.750 x4

[17]
A plane-wave DFT calculation with PBE was carried out for a relaxed Li2CdTc crystal.

Density ... 5.809 g/cm³
Calculated total energy ... -54.06 eV per cell
Crystal system ... cubic

abc: 6.353 6.353 6.353
angles: 90.00 90.00 90.00
Space group F-43m (No. 216)
Unique sites:
Li1 0.000 0.000 0.000 x4
Li2 0.250 0.250 0.250 x4
Cd1 0.250 0.250 0.750 x4
Tc1 0.000 0.000 0.500 x4

[18]
A plane-wave DFT calculation with PBE was carried out for a relaxed LiYCdTe3 crystal.

Density ... 5.281 g/cm³
Excess energy over the best structure of this formula in the dataset ... 0.32 eV/f.u.
Calculated total energy ... -96.55 eV per cell
Crystal system ... orthorhombic

abc: 13.416 4.333 12.789
angles: 90.00 90.00 90.00
Space group Pnma (No. 62)
Unique sites:
Li1 0.115 0.250 0.009 x4
Y1 0.054 0.250 0.674 x4
Cd1 0.234 0.250 0.283 x4
Te1 0.063 0.750 0.856 x4
Te2 0.078 0.250 0.423 x4
Te3 0.222 0.750 0.137 x4

[19]
A plane-wave DFT calculation with PBE was carried out for a relaxed LiYCdTe3 crystal.

Density ... 5.451 g/cm³
Excess energy over the best structure of this formula in the dataset ... 0.29 eV/f.u.
Calculated total energy ... -96.67 eV per cell
Crystal system ... orthorhombic

abc: 4.310 14.370 11.630
angles: 90.00 90.00 90.00
Space group Cmcm (No. 63)
Unique sites:
Li1 0.000 0.214 0.250 x4
Y1 0.000 0.000 0.000 x4
Cd1 0.000 0.479 0.750 x4
Te1 0.000 0.106 0.750 x4
Te2 0.000 0.354 0.564 x8

[20]
A plane-wave DFT calculation with PBE was carried out for a relaxed LiYCdTe3 crystal.

Density ... 5.204 g/cm³
Excess energy over the best structure of this formula in the dataset ... 0.00 eV/f.u.
Calculated total energy ... -97.80 eV per cell
Crystal system ... orthorhombic

abc: 14.419 4.350 12.028
angles: 90.00 90.00 90.00
Space group Pnma (No. 62)
Unique sites:
Li1 0.226 0.250 0.181 x4
Y1 0.021 0.750 0.847 x4
Cd1 0.025 0.250 0.604 x4
Te1 0.103 0.250 0.378 x4
Te2 0.115 0.750 0.075 x4
Te3 0.161 0.250 0.771 x4